# PmDyMgSi (PBE, relaxed)
data_PmDyMgSi
_chemical_formula_sum 'Pm4 Dy4 Mg4 Si4'
_cell_length_a 7.280
_cell_length_b 7.280
_cell_length_c 7.280
_cell_angle_alpha 90.00
_cell_angle_beta 90.00
_cell_angle_gamma 90.00
_space_group_name_H-M_alt 'F -4 3 m'
_space_group_IT_number 216
_space_group_name_Hall 'F -4 2 3'
loop_
_atom_site_label
_atom_site_type_symbol
_atom_site_fract_x
_atom_site_fract_y
_atom_site_fract_z
_atom_site_occupancy
Pm1 Pm 0.000 0.000 0.000 1
Dy1 Dy 0.000 0.000 0.500 1
Mg1 Mg 0.250 0.250 0.250 1
Si1 Si 0.250 0.250 0.750 1
# Formation energy without anion corrections ... -0.283 eV/atom
# Calculated density ... 6.20 g cm⁻³
# Spin magnetization ... 0.00 μB per formula unit
# D(E_F) ... 13.0 states/eV per cell

# Ba3Al3Ga8 (PBE, relaxed)
data_Ba3Al3Ga8
_chemical_formula_sum 'Ba6 Al6 Ga16'
_cell_length_a 4.552
_cell_length_b 10.497
_cell_length_c 13.764
_cell_angle_alpha 90.00
_cell_angle_beta 90.00
_cell_angle_gamma 90.00
_space_group_name_H-M_alt 'I m m m'
_space_group_IT_number 71
_space_group_name_Hall '-I 2 2'
loop_
_atom_site_label
_atom_site_type_symbol
_atom_site_fract_x
_atom_site_fract_y
_atom_site_fract_z
_atom_site_occupancy
Ba1 Ba 0.000 0.000 0.000 1
Ba2 Ba 0.000 0.000 0.306 1
Al1 Al 0.000 0.210 0.500 1
Al2 Al 0.000 0.500 0.000 1
Ga1 Ga 0.000 0.280 0.140 1
Ga2 Ga 0.000 0.360 0.340 1
# Total energy ... -91.0 eV per cell
# Calculated density ... 5.31 g cm⁻³
# Spin magnetization ... 0.00 μB per formula unit
# D(E_F) ... 11.2 states/eV per cell

# CuRhSN2 (PBE, relaxed)
data_CuRhSN2
_chemical_formula_sum 'Cu1 Rh1 S1 N2'
_cell_length_a 3.714
_cell_length_b 3.714
_cell_length_c 5.394
_cell_angle_alpha 90.00
_cell_angle_beta 90.00
_cell_angle_gamma 90.00
_space_group_name_H-M_alt 'P 4/m m m'
_space_group_IT_number 123
_space_group_name_Hall '-P 4 2'
loop_
_atom_site_label
_atom_site_type_symbol
_atom_site_fract_x
_atom_site_fract_y
_atom_site_fract_z
_atom_site_occupancy
Cu1 Cu 0.000 0.000 0.000 1
Rh1 Rh 0.500 0.500 0.500 1
S1 S 0.500 0.500 0.000 1
N1 N 0.000 0.500 0.500 1
# Formation energy without anion corrections ... 1.110 eV/atom
# Calculated density ... 5.06 g cm⁻³
# Spin magnetization ... 0.41 μB per formula unit
# D(E_F) ... 3.4 states/eV per cell

# Eu2PaAg (PBE, relaxed)
data_Eu2PaAg
_chemical_formula_sum 'Eu8 Pa4 Ag4'
_cell_length_a 7.639
_cell_length_b 7.639
_cell_length_c 7.639
_cell_angle_alpha 90.00
_cell_angle_beta 90.00
_cell_angle_gamma 90.00
_space_group_name_H-M_alt 'F m -3 m'
_space_group_IT_number 225
_space_group_name_Hall '-F 4 2 3'
loop_
_atom_site_label
_atom_site_type_symbol
_atom_site_fract_x
_atom_site_fract_y
_atom_site_fract_z
_atom_site_occupancy
Eu1 Eu 0.250 0.250 0.250 1
Pa1 Pa 0.000 0.000 0.000 1
Ag1 Ag 0.000 0.000 0.500 1
# Total energy ... -123.7 eV per cell
# Calculated density ... 9.58 g cm⁻³
# Spin magnetization ... 16.99 μB per formula unit
# D(E_F) ... 33.0 states/eV per cell

# K2PmUO6 (PBE, relaxed)
data_K2PmUO6
_chemical_formula_sum 'K8 Pm4 U4 O24'
_cell_length_a 8.806
_cell_length_b 8.806
_cell_length_c 8.806
_cell_angle_alpha 90.00
_cell_angle_beta 90.00
_cell_angle_gamma 90.00
_space_group_name_H-M_alt 'F m -3 m'
_space_group_IT_number 225
_space_group_name_Hall '-F 4 2 3'
loop_
_atom_site_label
_atom_site_type_symbol
_atom_site_fract_x
_atom_site_fract_y
_atom_site_fract_z
_atom_site_occupancy
K1 K 0.250 0.250 0.250 1
Pm1 Pm 0.000 0.000 0.000 1
U1 U 0.000 0.000 0.500 1
O1 O 0.000 0.000 0.265 1
# Formation energy without anion corrections ... -2.643 eV/atom
# Calculated density ... 5.42 g cm⁻³
# Spin magnetization ... 0.82 μB per formula unit
# D(E_F) ... 40.5 states/eV per cell

# LaCe2Y3P6 (PBE, relaxed)
data_LaCe2Y3P6
_chemical_formula_sum 'La2 Ce4 Y6 P12'
_cell_length_a 7.077
_cell_length_b 12.256
_cell_length_c 7.054
_cell_angle_alpha 90.00
_cell_angle_beta 109.54
_cell_angle_gamma 90.00
_space_group_name_H-M_alt 'C 1 2/m 1'
_space_group_IT_number 12
loop_
_space_group_symop_operation_xyz
'x,y,z'
'-x,-y,-z'
'-x,y,-z'
'x,-y,z'
'x+1/2,y+1/2,z'
'-x+1/2,-y+1/2,-z'
'-x+1/2,y+1/2,-z'
'x+1/2,-y+1/2,z'
loop_
_atom_site_label
_atom_site_type_symbol
_atom_site_fract_x
_atom_site_fract_y
_atom_site_fract_z
_atom_site_occupancy
La1 La 0.000 0.000 0.000 1
Ce1 Ce 0.000 0.333 0.000 1
Y1 Y 0.000 0.165 0.500 1
Y2 Y 0.000 0.500 0.500 1
P1 P 0.244 0.330 0.745 1
P2 P 0.245 0.500 0.256 1
# Total energy ... -175.1 eV per cell
# Calculated density ... 5.02 g cm⁻³
# Spin magnetization ... 0.97 μB per formula unit
# D(E_F) ... 20.4 states/eV per cell

# AcErPu (PBE, relaxed)
data_AcErPu
_chemical_formula_sum 'Ac1 Er1 Pu1'
_cell_length_a 5.8486
_cell_length_b 5.8486
_cell_length_c 3.4471
_cell_angle_alpha 90.00
_cell_angle_beta 90.00
_cell_angle_gamma 120.00
_space_group_name_H-M_alt 'P 3 m 1'
_space_group_IT_number 156
loop_
_space_group_symop_operation_xyz
'x,y,z'
'-y,x-y,z'
'-x+y,-x,z'
'-y,-x,z'
'-x+y,y,z'
'x,x-y,z'
loop_
_atom_site_label
_atom_site_type_symbol
_atom_site_fract_x
_atom_site_fract_y
_atom_site_fract_z
_atom_site_occupancy
Ac1 Ac 0.0000 0.0000 0.0000 1
Er1 Er 0.3333 0.6667 0.9944 1
Pu1 Pu 0.6667 0.3333 0.4977 1
# Total energy ... -22.0 eV per cell
# Calculated density ... 10.38 g cm⁻³
# Spin magnetization ... 5.91 μB per formula unit
# D(E_F) ... 10.5 states/eV per cell

# CrPt2 (PBE, relaxed)
data_CrPt2
_chemical_formula_sum 'Cr4 Pt8'
_cell_length_a 2.708
_cell_length_b 2.708
_cell_length_c 24.100
_cell_angle_alpha 90.00
_cell_angle_beta 90.00
_cell_angle_gamma 90.00
_space_group_name_H-M_alt 'I 41/a m d'
_space_group_IT_number 141
loop_
_space_group_symop_operation_xyz
'x,y,z'
'-x,-y,-z'
'-y+1/4,x+3/4,z+1/4'
'y+1/4,-x+3/4,-z+1/4'
'-x+1/2,-y,z+1/2'
'x+1/2,y,-z+1/2'
'y+1/4,-x+1/4,z+3/4'
'-y+1/4,x+1/4,-z+3/4'
'x,-y,-z'
'-x,y,z'
'-y+1/4,-x+1/4,-z+3/4'
'y+1/4,x+1/4,z+3/4'
'-x+1/2,y,-z+1/2'
'x+1/2,-y,z+1/2'
'y+1/4,x+3/4,-z+1/4'
'-y+1/4,-x+3/4,z+1/4'
'x+1/2,y+1/2,z+1/2'
'-x+1/2,-y+1/2,-z+1/2'
'-y+3/4,x+1/4,z+3/4'
'y+3/4,-x+1/4,-z+3/4'
'-x,-y+1/2,z'
'x,y+1/2,-z'
'y+3/4,-x+3/4,z+1/4'
'-y+3/4,x+3/4,-z+1/4'
'x+1/2,-y+1/2,-z+1/2'
'-x+1/2,y+1/2,z+1/2'
'-y+3/4,-x+3/4,-z+1/4'
'y+3/4,x+3/4,z+1/4'
'-x,y+1/2,-z'
'x,-y+1/2,z'
'y+3/4,x+1/4,-z+3/4'
'-y+3/4,-x+1/4,z+3/4'
loop_
_atom_site_label
_atom_site_type_symbol
_atom_site_fract_x
_atom_site_fract_y
_atom_site_fract_z
_atom_site_occupancy
Cr1 Cr 0.000 0.250 0.375 1
Pt1 Pt 0.000 0.250 0.801 1
# Total energy ... -89.1 eV per cell
# Calculated density ... 16.62 g cm⁻³
# Spin magnetization ... 0.00 μB per formula unit
# D(E_F) ... 11.8 states/eV per cell